VASP calculation (PBE with a Hubbard U) on crystalline VSeO2 at its relaxed geometry.

POSCAR file:
```
VSeO2
1.0
1.701 0.000 7.187
-0.851 1.473 7.187
-0.851 -1.473 7.187
O Se V
2 1 1
Cartesian
0.000 0.000 19.780
0.000 0.000 1.782
0.000 0.000 10.781
0.000 0.000 0.000
```

Values from the calculation:
**Electronic total energy**: -5.148 eV/atom